# K3SmPa3Se8 PBE relaxed
data_K3SmPa3Se8
_chemical_formula_sum 'K3 Sm1 Pa3 Se8'
_space_group_name_H-M_alt 'P 1'
_space_group_IT_number 1
_cell_length_a 9.2465
_cell_length_b 9.2465
_cell_length_c 9.2465
_cell_angle_alpha 53.61
_cell_angle_beta 53.61
_cell_angle_gamma 53.61
loop_
_space_group_symop_operation_xyz
'x,y,z'
loop_
_atom_site_label
_atom_site_fract_x
_atom_site_fract_y
_atom_site_fract_z
K1 0.0000 0.5000 0.5000
K2 0.5000 0.0000 0.5000
K3 0.5000 0.5000 0.0000
Sm1 0.5000 0.5000 0.5000
Pa1 0.0000 0.0000 0.5000
Pa2 0.0000 0.5000 0.0000
Pa3 0.5000 0.0000 0.0000
Se1 0.2294 0.7392 0.7392
Se2 0.2369 0.2369 0.2369
Se3 0.2608 0.2608 0.7706
Se4 0.2608 0.7706 0.2608
Se5 0.7392 0.2294 0.7392
Se6 0.7392 0.7392 0.2294
Se7 0.7631 0.7631 0.7631
Se8 0.7706 0.2608 0.2608
# - electronic total energy (eV/atom) = -5.736
# - E_form (uncorrected) (kJ/mol of formula units) = -2090.8



# K2SmPa2Se6 PBE relaxed
data_K2SmPa2Se6
_chemical_formula_sum 'K2 Sm1 Pa2 Se6'
_space_group_name_H-M_alt 'P 1'
_space_group_IT_number 1
_cell_length_a 7.2504
_cell_length_b 7.2504
_cell_length_c 8.2670
_cell_angle_alpha 98.18
_cell_angle_beta 98.18
_cell_angle_gamma 120.00
loop_
_space_group_symop_operation_xyz
'x,y,z'
loop_
_atom_site_label
_atom_site_fract_x
_atom_site_fract_y
_atom_site_fract_z
K1 0.1651 0.8349 0.0000
K2 0.8349 0.1651 0.0000
Sm1 0.0000 0.0000 0.5000
Pa1 0.3356 0.6644 0.5000
Pa2 0.6644 0.3356 0.5000
Se1 0.0650 0.4072 0.7038
Se2 0.2714 0.2714 0.2925
Se3 0.4072 0.0650 0.7038
Se4 0.5928 0.9350 0.2962
Se5 0.7286 0.7286 0.7075
Se6 0.9350 0.5928 0.2962
# - electronic total energy (eV/atom) = -5.752
# - E_form (uncorrected) (kJ/mol of formula units) = -1587.5



# K2PaSnSe5 PBE relaxed
data_K2PaSnSe5
_chemical_formula_sum 'K4 Pa2 Sn2 Se10'
_space_group_name_H-M_alt 'P 1'
_space_group_IT_number 1
_cell_length_a 9.4557
_cell_length_b 9.4557
_cell_length_c 14.6251
_cell_angle_alpha 90.00
_cell_angle_beta 90.00
_cell_angle_gamma 152.91
loop_
_space_group_symop_operation_xyz
'x,y,z'
loop_
_atom_site_label
_atom_site_fract_x
_atom_site_fract_y
_atom_site_fract_z
K1 0.0999 0.9001 0.5000
K2 0.1337 0.8663 0.1424
K3 0.8663 0.1337 0.6424
K4 0.9001 0.0999 0.0000
Pa1 0.2177 0.7823 0.8562
Pa2 0.7823 0.2177 0.3562
Sn1 0.4595 0.5405 0.2682
Sn2 0.5405 0.4595 0.7682
Se1 0.0628 0.9372 0.8769
Se2 0.2823 0.7177 0.4761
Se3 0.3072 0.6928 0.2327
Se4 0.3593 0.6407 0.8271
Se5 0.4962 0.5038 0.6036
Se6 0.5038 0.4962 0.1036
Se7 0.6407 0.3593 0.3271
Se8 0.6928 0.3072 0.7327
Se9 0.7177 0.2823 0.9761
Se10 0.9372 0.0628 0.3769
# - electronic total energy (eV/atom) = -4.737
# - E_form (uncorrected) (kJ/mol of formula units) = -918.3



Which of these has the highest electronic total energy? K2PaSnSe5



Among the records above, which one has the lowest electronic total energy? K2SmPa2Se6



Repeat the second record exactly.
# K2SmPa2Se6 PBE relaxed
data_K2SmPa2Se6
_chemical_formula_sum 'K2 Sm1 Pa2 Se6'
_space_group_name_H-M_alt 'P 1'
_space_group_IT_number 1
_cell_length_a 7.2504
_cell_length_b 7.2504
_cell_length_c 8.2670
_cell_angle_alpha 98.18
_cell_angle_beta 98.18
_cell_angle_gamma 120.00
loop_
_space_group_symop_operation_xyz
'x,y,z'
loop_
_atom_site_label
_atom_site_fract_x
_atom_site_fract_y
_atom_site_fract_z
K1 0.1651 0.8349 0.0000
K2 0.8349 0.1651 0.0000
Sm1 0.0000 0.0000 0.5000
Pa1 0.3356 0.6644 0.5000
Pa2 0.6644 0.3356 0.5000
Se1 0.0650 0.4072 0.7038
Se2 0.2714 0.2714 0.2925
Se3 0.4072 0.0650 0.7038
Se4 0.5928 0.9350 0.2962
Se5 0.7286 0.7286 0.7075
Se6 0.9350 0.5928 0.2962
# - electronic total energy (eV/atom) = -5.752
# - E_form (uncorrected) (kJ/mol of formula units) = -1587.5